First-principles (PBE with a Hubbard U) data for Li2PaVO6 after structural relaxation, as listed in the Alexandria database. Values from VASP.

The structure in Quantum ESPRESSO input format:
```
&SYSTEM
  ibrav = 0, nat = 10, ntyp = 4
/
ATOMIC_SPECIES
Li 6.94 Li.upf
Pa 231.04 Pa.upf
V 50.94 V.upf
O 16.00 O.upf
CELL_PARAMETERS angstrom
5.277 0.000 0.000
2.639 4.571 0.000
2.638 1.524 4.702
ATOMIC_POSITIONS angstrom
Li 5.276 3.047 2.039
Li 2.639 1.524 4.210
Pa 7.916 4.571 2.635
V 2.638 1.524 0.273
O 4.221 1.377 1.170
O 4.359 4.797 1.169
O 7.251 2.967 1.170
O 6.078 4.336 3.639
O 5.992 1.709 3.638
O 3.761 3.097 3.638
```

Summary:
Space-group type: R3
Total magnetization, μB/atom: 0.0000
Electronic total energy, eV/atom: -7.556